Here is a relaxed La2SiPdPt crystal from the Alexandria database. Energies are from PBE-GGA.

Unit cell a=5.6027 b=5.6027 c=4.4347 alpha=90.00 beta=90.00 gamma=90.00
With the nearest neighbours (Å) after each atom.
Atoms (fractional coordinates):
La 0.0000 0.5000 0.0000  2 Pd 2.80
La 0.5000 0.0000 0.0000  2 Pd 2.80
Si 0.0000 0.0000 0.5000  2 Pd 2.22
Pd 0.0000 0.0000 0.0000  2 Si 2.22
Pt 0.5000 0.5000 0.5000  8 La 3.57, 4 Si 3.96

Computed properties:
final energy: -5.672 eV/atom
formation energy from raw total energies: -369 meV per atom
symmetry: P4/mmm